## YMgO3 (PBE)

Data for an optimized crystal structure of YMgO3.

Structure (CIF):
```
data_YMgO3
_symmetry_space_group_name_H-M 'P 1'
_symmetry_Int_Tables_number 1
_symmetry_space_group_name_Hall 'P 1'
_cell_length_a 3.813
_cell_length_b 3.813
_cell_length_c 3.813
_cell_angle_alpha 90.00
_cell_angle_beta 90.00
_cell_angle_gamma 90.00
loop_
_atom_site_label
_atom_site_type_symbol
_atom_site_fract_x
_atom_site_fract_y
_atom_site_fract_z
Y1 Y 0.000 0.000 0.000
Mg1 Mg 0.500 0.500 0.500
O1 O 0.000 0.500 0.500
O2 O 0.500 0.000 0.500
O3 O 0.500 0.500 0.000
```

Computed properties:
Spin magnetization: 1.00 Bohr magnetons per cell
Space-group type: Pm-3m
Formation energy without anion corrections: -2.307 eV per atom